The following is a DFT calculation (PBE with a Hubbard U) of a geometry-optimized VCdSbO6 structure.

Lattice parameters (Å, degrees): 5.1982 5.1982 9.7582 90.00 90.00 120.00
Last column: nearest neighbours and their distance in Å.
Space group P-31c (No. 163)
Inequivalent atoms, fractional coordinates:
V 0.3333 0.6667 0.2500 x2  6 O 1.91
Cd 0.0000 0.0000 0.0000 x2  6 O 2.37
Sb 0.3333 0.6667 0.7500 x2  6 O 2.01
O 0.0140 0.3788 0.1405 x12  1 V 1.91, 1 Sb 2.01

For the volume, the calculation gives 12.69 A^3/atom. The value obtained for the total energy is -6.1793 eV/atom. The total moment comes out at 0.00 μB per formula unit.